No. 1
Below is an optimized crystal structure of ZnGaCl3, with properties calculated at the PBE level. Values from VASP.

Cell and atoms, written as Quantum ESPRESSO input:
```
&SYSTEM
  ibrav = 0, nat = 5, ntyp = 3
/
ATOMIC_SPECIES
Cl 35.45 Cl.upf
Zn 65.41 Zn.upf
Ga 69.72 Ga.upf
ATOMIC_POSITIONS angstrom
Cl 0.000 2.457 0.000
Cl 0.000 0.000 2.457
Cl 2.457 0.000 0.000
Zn 0.000 0.000 0.000
Ga 2.457 2.457 2.457
CELL_PARAMETERS angstrom
4.913 0.000 0.000
0.000 4.913 0.000
0.000 0.000 4.913
```

SG = Pm-3m (221)
E_form (uncorrected) = -0.83 eV per atom
ΔE to the lowest computed polymorph = 130 meV/atom
total moment = 0.00 μB per cell
crystal system = cubic



No. 2
Below is an optimized crystal structure of Tb2PrScS4, with properties calculated at the PBE level. Values from VASP.

Cell and atoms, written as Quantum ESPRESSO input:
```
&SYSTEM
  ibrav = 0, nat = 8, ntyp = 4
/
ATOMIC_SPECIES
S 32.06 S.upf
Tb 158.93 Tb.upf
Pr 140.91 Pr.upf
Sc 44.96 Sc.upf
ATOMIC_POSITIONS angstrom
S 1.942 1.034 1.582
S 1.942 3.499 4.931
S 0.000 -0.147 4.768
S 0.000 4.679 1.745
Tb 0.000 2.266 3.256
Tb 1.942 -1.177 3.171
Pr 1.942 3.443 0.086
Sc 0.000 0.000 0.000
CELL_PARAMETERS angstrom
3.883 0.000 0.000
0.000 6.886 0.171
0.000 -2.354 6.342
```

SG = P2/m (10)
E_form (uncorrected) = -1.94 eV per atom
total moment = 0.00 μB per cell
crystal system = monoclinic



No. 3
Below is an optimized crystal structure of RbPNCl2, with properties calculated at the PBE level. Values from VASP.

Cell and atoms, written as Quantum ESPRESSO input:
```
&SYSTEM
  ibrav = 0, nat = 5, ntyp = 4
/
ATOMIC_SPECIES
Cl 35.45 Cl.upf
Rb 85.47 Rb.upf
N 14.01 N.upf
P 30.97 P.upf
ATOMIC_POSITIONS angstrom
Cl 0.000 3.153 0.000
Cl 3.153 0.000 0.000
Rb 3.153 3.153 1.651
N 0.000 0.000 0.000
P 0.000 0.000 1.651
CELL_PARAMETERS angstrom
6.305 0.000 0.000
0.000 6.305 0.000
0.000 0.000 3.302
```

SG = P4/mmm (123)
E_form (uncorrected) = -0.08 eV per atom
ΔE to the lowest computed polymorph = 0 meV/atom
total moment = 0.00 μB per cell
crystal system = tetragonal



No. 4
Below is an optimized crystal structure of AsSe4, with properties calculated at the PBE level. Values from VASP.

Cell and atoms, written as Quantum ESPRESSO input:
```
&SYSTEM
  ibrav = 0, nat = 5, ntyp = 2
/
ATOMIC_SPECIES
Se 78.96 Se.upf
As 74.92 As.upf
ATOMIC_POSITIONS angstrom
Se -1.257 1.941 1.713
Se 2.436 3.120 0.000
Se 1.941 1.257 1.713
Se 5.633 2.436 0.000
As 0.000 0.000 0.000
CELL_PARAMETERS angstrom
-4.377 4.377 1.713
4.377 -4.377 1.713
4.377 4.377 -1.713
```

SG = I4/m (87)
E_form (uncorrected) = 0.29 eV per atom
ΔE to the lowest computed polymorph = 0 meV/atom
total moment = 0.00 μB per cell
crystal system = tetragonal



No. 5
Below is an optimized crystal structure of PrHo2Rh, with properties calculated at the PBE level. Values from VASP.

Cell and atoms, written as Quantum ESPRESSO input:
```
&SYSTEM
  ibrav = 0, nat = 8, ntyp = 3
/
ATOMIC_SPECIES
Pr 140.91 Pr.upf
Rh 102.91 Rh.upf
Ho 164.93 Ho.upf
ATOMIC_POSITIONS angstrom
Pr 1.901 5.242 2.360
Pr 0.001 0.886 7.081
Rh 0.001 2.943 2.360
Rh 1.901 3.185 7.081
Ho 0.000 4.399 5.364
Ho 0.000 4.399 8.798
Ho 1.902 1.729 4.077
Ho 1.902 1.729 0.643
CELL_PARAMETERS angstrom
3.801 0.000 0.000
-1.899 6.128 0.000
0.000 0.000 9.441
```

SG = Cmcm (63)
formation energy from the elements = -470 meV/atom
ΔE to the lowest computed polymorph = 26 meV/atom
total moment = 0.00 μB per cell
crystal system = orthorhombic



No. 6
Below is an optimized crystal structure of BaLi2Tl2, with properties calculated at the PBE level. Values from VASP.

Cell and atoms, written as Quantum ESPRESSO input:
```
&SYSTEM
  ibrav = 0, nat = 5, ntyp = 3
/
ATOMIC_SPECIES
Li 6.94 Li.upf
Tl 204.38 Tl.upf
Ba 137.33 Ba.upf
ATOMIC_POSITIONS angstrom
Li 3.387 0.714 3.980
Li -0.398 3.439 3.980
Tl 1.495 2.076 5.584
Tl 1.495 2.076 2.375
Ba 2.990 4.154 0.002
CELL_PARAMETERS angstrom
4.408 -0.020 0.001
-1.417 4.174 0.001
-0.001 -0.002 7.958
```

SG = Cmmm (65)
formation energy from the elements = -208 meV/atom
ΔE to the lowest computed polymorph = 70 meV/atom
total moment = 0.00 μB per cell
crystal system = orthorhombic



No. 7
Below is an optimized crystal structure of Ba3AlGa3, with properties calculated at the PBE level. Values from VASP.

Cell and atoms, written as Quantum ESPRESSO input:
```
&SYSTEM
  ibrav = 0, nat = 14, ntyp = 3
/
ATOMIC_SPECIES
Ba 137.33 Ba.upf
Ga 69.72 Ga.upf
Al 26.98 Al.upf
ATOMIC_POSITIONS angstrom
Ba 0.000 2.901 13.681
Ba 0.000 2.901 9.090
Ba 2.313 3.348 6.091
Ba 0.000 5.798 3.795
Ba 2.313 3.348 1.500
Ba 2.313 0.452 11.385
Ga 0.000 0.706 1.382
Ga 2.313 5.544 13.798
Ga 2.313 4.132 11.385
Ga 0.000 2.118 3.795
Ga 0.000 0.706 6.208
Ga 2.313 5.544 8.973
Al 2.313 0.000 7.590
Al 2.313 0.000 0.000
CELL_PARAMETERS angstrom
4.627 0.000 0.000
-2.313 6.250 0.000
0.000 0.000 15.180
```

SG = Cmcm (63)
formation energy from the elements = -289 meV/atom
ΔE to the lowest computed polymorph = 0 meV/atom
total moment = 0.00 μB per cell
crystal system = orthorhombic



No. 8
Below is an optimized crystal structure of CuReBi2, with properties calculated at the PBE level. Values from VASP.

Cell and atoms, written as Quantum ESPRESSO input:
```
&SYSTEM
  ibrav = 0, nat = 4, ntyp = 3
/
ATOMIC_SPECIES
Bi 208.98 Bi.upf
Cu 63.55 Cu.upf
Re 186.21 Re.upf
ATOMIC_POSITIONS angstrom
Bi 5.177 5.177 5.177
Bi 1.726 1.726 1.726
Cu 0.000 0.000 0.000
Re 3.451 3.451 3.451
CELL_PARAMETERS angstrom
0.000 3.451 3.451
3.451 0.000 3.451
3.451 3.451 0.000
```

SG = Fm-3m (225)
formation energy from the elements = 849 meV/atom
ΔE to the lowest computed polymorph = 0 meV/atom
total moment = 0.00 μB per cell
crystal system = cubic



No. 9
Below is an optimized crystal structure of Ca2TaPb, with properties calculated at the PBE level. Values from VASP.

Cell and atoms, written as Quantum ESPRESSO input:
```
&SYSTEM
  ibrav = 0, nat = 4, ntyp = 3
/
ATOMIC_SPECIES
Pb 207.20 Pb.upf
Ca 40.08 Ca.upf
Ta 180.95 Ta.upf
ATOMIC_POSITIONS angstrom
Pb -2.336 5.813 5.285
Ca -4.631 11.524 10.478
Ca -0.041 0.101 0.092
Ta -7.007 17.438 15.855
CELL_PARAMETERS angstrom
-1.270 7.963 7.628
-3.798 8.818 5.570
-4.275 6.470 7.941
```

SG = R-3m (166)
formation energy from the elements = 313 meV/atom
total moment = 0.00 μB per cell
crystal system = trigonal



No. 10
Below is an optimized crystal structure of AcPmSbO6, with properties calculated at the PBE level. Values from VASP.

Cell and atoms, written as Quantum ESPRESSO input:
```
&SYSTEM
  ibrav = 0, nat = 18, ntyp = 4
/
ATOMIC_SPECIES
O 16.00 O.upf
Sb 121.76 Sb.upf
Pm 145.00 Pm.upf
Ac 227.00 Ac.upf
ATOMIC_POSITIONS angstrom
O 2.275 3.270 1.168
O 2.057 0.335 1.168
O 3.970 0.335 3.352
O 0.956 4.884 7.873
O 0.738 1.949 7.873
O -1.695 3.606 7.873
O 1.319 1.614 3.352
O -0.738 1.949 5.689
O 3.752 3.270 3.352
O -0.956 4.884 5.689
O 1.695 3.606 5.689
O 4.708 1.614 1.168
Sb 0.000 3.480 6.781
Sb 3.014 1.740 2.260
Pm 0.000 0.000 0.000
Pm 0.000 0.000 4.521
Ac 0.000 3.480 2.260
Ac 3.014 1.740 6.781
CELL_PARAMETERS angstrom
6.027 0.000 0.000
-3.014 5.220 0.000
0.000 0.000 9.041
```

SG = P-31c (163)
E_form (uncorrected) = -2.33 eV per atom
total moment = 2.05 μB per cell
crystal system = trigonal



No. 11
Below is an optimized crystal structure of Pr3Ga3Ge, with properties calculated at the PBE level. Values from VASP.

Cell and atoms, written as Quantum ESPRESSO input:
```
&SYSTEM
  ibrav = 0, nat = 7, ntyp = 3
/
ATOMIC_SPECIES
Pr 140.91 Pr.upf
Ga 69.72 Ga.upf
Ge 72.64 Ge.upf
ATOMIC_POSITIONS angstrom
Pr 2.785 0.809 2.877
Pr 3.910 4.338 8.034
Pr 1.135 3.539 5.202
Ga 2.214 2.447 0.263
Ga 0.447 2.773 2.051
Ga 3.459 1.562 5.970
Ge 1.712 1.910 7.848
CELL_PARAMETERS angstrom
4.118 0.000 -0.898
-0.218 4.304 -1.000
0.016 0.041 9.959
```

SG = Imm2 (44)
formation energy from the elements = -686 meV/atom
total moment = 0.39 μB per cell
crystal system = orthorhombic



No. 12
Below is an optimized crystal structure of Rb4Sm3SbSe8, with properties calculated at the PBE level. Values from VASP.

Cell and atoms, written as Quantum ESPRESSO input:
```
&SYSTEM
  ibrav = 0, nat = 16, ntyp = 4
/
ATOMIC_SPECIES
Sb 121.76 Sb.upf
Se 78.96 Se.upf
Rb 85.47 Rb.upf
Sm 150.36 Sm.upf
ATOMIC_POSITIONS angstrom
Sb -0.078 -4.409 1.664
Se -4.331 -5.451 -1.213
Se -2.840 -4.039 2.590
Se -2.452 -4.639 -4.708
Se -0.973 -3.215 -0.864
Se -3.198 -0.214 1.310
Se -5.077 -1.026 4.805
Se -6.556 -2.450 0.962
Se -4.689 -1.626 -2.493
Rb -2.219 2.989 2.197
Rb 0.000 0.000 0.000
Rb -3.687 1.576 -1.615
Rb -1.468 -1.413 -3.812
Sm -3.764 -2.833 0.049
Sm -2.297 -1.420 3.861
Sm -1.545 -5.821 -2.148
CELL_PARAMETERS angstrom
-2.935 -2.825 -7.624
-0.156 -8.817 3.328
-4.438 5.978 4.394
```

SG = R-3m (166)
E_form (uncorrected) = -1.47 eV per atom
total moment = 0.00 μB per cell
crystal system = trigonal